(1)
The following is a PBEsol calculation of crystalline SrHgSe2 at its relaxed geometry, from Alexandria via LeMat-Bulk.

VASP energy: -13.98 eV per formula unit

abc: 7.4593 7.4593 8.2493
angles: 90.00 90.00 90.00
Closest atoms and distances in Å follow each position.
Atoms (fractional coordinates):
Sr1 0.0000 0.0000 0.0000  4 Se 3.03
Sr2 0.0000 0.5000 0.2500  4 Se 3.03
Sr3 0.5000 0.0000 0.7500  4 Se 3.03
Sr4 0.5000 0.5000 0.5000  4 Se 3.03
Hg1 0.0000 0.0000 0.5000  4 Se 2.65
Hg2 0.0000 0.5000 0.7500  4 Se 2.65
Hg3 0.5000 0.0000 0.2500  4 Se 2.65
Hg4 0.5000 0.5000 0.0000  4 Se 2.65
Se1 0.2108 0.2500 0.6250  2 Hg 2.65
Se2 0.2500 0.7108 0.8750  2 Hg 2.65
Se3 0.2500 0.7892 0.3750  2 Hg 2.65
Se4 0.2892 0.2500 0.1250  2 Hg 2.65
Se5 0.7108 0.7500 0.1250  2 Hg 2.65
Se6 0.7500 0.2108 0.3750  2 Hg 2.65
Se7 0.7500 0.2892 0.8750  2 Hg 2.65
Se8 0.7892 0.7500 0.6250  2 Hg 2.65

---

(2)
The following is a PBEsol calculation of crystalline SrHgSe2 at its relaxed geometry, from Alexandria via LeMat-Bulk.

VASP energy: -14.30 eV per formula unit

abc: 4.1256 4.4392 6.5531
angles: 90.00 106.75 90.00
Closest atoms and distances in Å follow each position.
Atoms (fractional coordinates):
Sr1 0.0000 0.0000 0.0000  6 Se 3.08-3.19
Hg1 0.9592 0.5000 0.5473  3 Se 2.59-2.60
Se1 0.4497 0.5000 0.9002  1 Hg 2.60
Se2 0.6891 0.0000 0.3776  2 Hg 2.59

---

(3)
The following is a PBEsol calculation of crystalline SrHgSe2 at its relaxed geometry, from Alexandria via LeMat-Bulk.

VASP energy: -14.15 eV per formula unit

abc: 4.7755 4.7755 22.9666
angles: 90.00 90.00 120.00
Closest atoms and distances in Å follow each position.
Atoms (fractional coordinates):
Sr1 0.0000 0.0000 0.0000  6 Se 3.09
Sr2 0.3333 0.6667 0.6667  6 Se 3.09
Sr3 0.6667 0.3333 0.3333  6 Se 3.09
Hg1 0.0000 0.0000 0.5000  2 Se 2.43
Hg2 0.3333 0.6667 0.1667  2 Se 2.43
Hg3 0.6667 0.3333 0.8333  2 Se 2.43
Se1 0.0000 0.0000 0.3943  1 Hg 2.43
Se2 0.0000 0.0000 0.6057  1 Hg 2.43
Se3 0.3333 0.6667 0.0610  1 Hg 2.43
Se4 0.3333 0.6667 0.2724  1 Hg 2.43
Se5 0.6667 0.3333 0.7276  1 Hg 2.43
Se6 0.6667 0.3333 0.9390  1 Hg 2.43

---

(4)
The following is a PBEsol calculation of crystalline TaHgSe3 at its relaxed geometry, from Alexandria via LeMat-Bulk.

VASP energy: -18.27 eV per formula unit

abc: 5.0194 5.0194 5.0194
angles: 90.00 90.00 90.00
Closest atoms and distances in Å follow each position.
Atoms (fractional coordinates):
Ta1 0.0000 0.0000 0.0000  12 Se 3.55
Hg1 0.5000 0.5000 0.5000  6 Se 2.51
Se1 0.0000 0.5000 0.5000  2 Hg 2.51
Se2 0.5000 0.0000 0.5000  2 Hg 2.51
Se3 0.5000 0.5000 0.0000  2 Hg 2.51

---

Look up the VASP energy of the first one. -13.98 eV per formula unit

---

What is the VASP energy in the first record? -13.98 eV per formula unit